No. 1
Material: RbGa3W
Method: DFT, GGA-PBE
State: relaxed

Structure (CIF):
```
data_RbGa3W
_symmetry_space_group_name_H-M 'P m -3 m'
_symmetry_Int_Tables_number 221
_symmetry_space_group_name_Hall '-P 4 2 3'
_cell_length_a 5.616
_cell_length_b 5.616
_cell_length_c 5.616
_cell_angle_alpha 90.00
_cell_angle_beta 90.00
_cell_angle_gamma 90.00
loop_
_atom_site_label
_atom_site_fract_x
_atom_site_fract_y
_atom_site_fract_z
Rb1 0.000 0.000 0.000
Ga1 0.000 0.000 0.500
W1 0.500 0.500 0.500
```

Computed properties:
Volume   177.2 Å³ per cell
Formation enthalpy at 0 K   2.317 eV/atom
N(E_F)   0.8806 states/eV per atom
Energy above the most stable polymorph in this dataset   2137 meV per atom
Uncorrected energy   -11.42 eV/cell


No. 2
Material: Tl2Cu2PbI6
Method: DFT, GGA-PBE
State: relaxed

Structure (CIF):
```
data_Tl2Cu2PbI6
_symmetry_space_group_name_H-M 'C 1 2/m 1'
_symmetry_Int_Tables_number 12
_cell_length_a 11.661
_cell_length_b 8.640
_cell_length_c 9.656
_cell_angle_alpha 90.00
_cell_angle_beta 107.56
_cell_angle_gamma 90.00
loop_
_symmetry_equiv_pos_as_xyz
'x,y,z'
'-x,-y,-z'
'-x,y,-z'
'x,-y,z'
'x+1/2,y+1/2,z'
'-x+1/2,-y+1/2,-z'
'-x+1/2,y+1/2,-z'
'x+1/2,-y+1/2,z'
loop_
_atom_site_label
_atom_site_fract_x
_atom_site_fract_y
_atom_site_fract_z
Tl1 0.196 0.000 0.140
Cu1 0.020 0.500 0.304
Pb1 0.000 0.000 0.500
I1 0.062 0.236 0.788
I2 0.225 0.500 0.501
```

Computed properties:
Volume   927.5 Å³ per cell
N(E_F)   0.0000 states/eV per atom
Formation energy (no corrections)   -0.4190 eV per atom
Uncorrected energy   -61.09 eV/cell


No. 3
Material: ErRe2O8
Method: DFT, GGA-PBE
State: relaxed

Structure (CIF):
```
data_ErRe2O8
_symmetry_space_group_name_H-M 'C 1 2/m 1'
_symmetry_Int_Tables_number 12
_cell_length_a 11.115
_cell_length_b 6.755
_cell_length_c 5.694
_cell_angle_alpha 90.00
_cell_angle_beta 101.80
_cell_angle_gamma 90.00
loop_
_symmetry_equiv_pos_as_xyz
'x,y,z'
'-x,-y,-z'
'-x,y,-z'
'x,-y,z'
'x+1/2,y+1/2,z'
'-x+1/2,-y+1/2,-z'
'-x+1/2,y+1/2,-z'
'x+1/2,-y+1/2,z'
loop_
_atom_site_label
_atom_site_fract_x
_atom_site_fract_y
_atom_site_fract_z
Er1 0.000 0.000 0.000
Re1 0.191 0.000 0.666
O1 0.120 0.193 0.810
O2 0.138 0.000 0.347
O3 0.151 0.500 0.247
```

Computed properties:
Volume   418.5 Å³ per cell
N(E_F)   0.2902 states/eV per atom
Formation energy (no corrections)   -1.8989 eV per atom
Energy above the most stable polymorph in this dataset   152 meV per atom
Uncorrected energy   -180.03 eV/cell


No. 4
Material: BeReW2
Method: DFT, GGA-PBE
State: relaxed

Structure (CIF):
```
data_BeReW2
_symmetry_space_group_name_H-M 'F -4 3 m'
_symmetry_Int_Tables_number 216
_symmetry_space_group_name_Hall 'F -4 2 3'
_cell_length_a 6.140
_cell_length_b 6.140
_cell_length_c 6.140
_cell_angle_alpha 90.00
_cell_angle_beta 90.00
_cell_angle_gamma 90.00
loop_
_atom_site_label
_atom_site_fract_x
_atom_site_fract_y
_atom_site_fract_z
Be1 0.000 0.000 0.000
Re1 0.250 0.250 0.250
W1 0.000 0.000 0.500
W2 0.250 0.250 0.750
```

Computed properties:
Volume   231.5 Å³ per cell
Formation enthalpy at 0 K   0.246 eV/atom
N(E_F)   0.9675 states/eV per atom
Uncorrected energy   -164.39 eV/cell


No. 5
Material: NdEuMgPd
Method: DFT, GGA-PBE
State: relaxed

Structure (CIF):
```
data_NdEuMgPd
_symmetry_space_group_name_H-M 'F -4 3 m'
_symmetry_Int_Tables_number 216
_symmetry_space_group_name_Hall 'F -4 2 3'
_cell_length_a 7.517
_cell_length_b 7.517
_cell_length_c 7.517
_cell_angle_alpha 90.00
_cell_angle_beta 90.00
_cell_angle_gamma 90.00
loop_
_atom_site_label
_atom_site_fract_x
_atom_site_fract_y
_atom_site_fract_z
Nd1 0.000 0.000 0.000
Eu1 0.000 0.000 0.500
Mg1 0.250 0.250 0.750
Pd1 0.250 0.250 0.250
```

Computed properties:
Volume   424.8 Å³ per cell
Formation enthalpy at 0 K   -0.310 eV/atom
N(E_F)   2.0573 states/eV per atom
Uncorrected energy   -92.29 eV/cell


No. 6
Material: Nd7SbSe5
Method: DFT, GGA-PBE
State: relaxed

Structure (CIF):
```
data_Nd7SbSe5
_symmetry_space_group_name_H-M 'C 1 2/m 1'
_symmetry_Int_Tables_number 12
_cell_length_a 13.881
_cell_length_b 4.231
_cell_length_c 25.106
_cell_angle_alpha 90.00
_cell_angle_beta 90.01
_cell_angle_gamma 90.00
loop_
_symmetry_equiv_pos_as_xyz
'x,y,z'
'-x,-y,-z'
'-x,y,-z'
'x,-y,z'
'x+1/2,y+1/2,z'
'-x+1/2,-y+1/2,-z'
'-x+1/2,y+1/2,-z'
'x+1/2,-y+1/2,z'
loop_
_atom_site_label
_atom_site_fract_x
_atom_site_fract_y
_atom_site_fract_z
Nd1 0.024 0.000 0.250
Nd2 0.093 0.500 0.116
Nd3 0.093 0.500 0.384
Nd4 0.138 0.000 0.537
Nd5 0.138 0.000 0.963
Nd6 0.187 0.500 0.678
Nd7 0.187 0.500 0.822
Sb1 0.191 0.500 0.250
Se1 0.000 0.500 0.000
Se2 0.000 0.500 0.500
Se3 0.050 0.000 0.642
Se4 0.050 0.000 0.858
Se5 0.224 0.000 0.071
Se6 0.224 0.000 0.429
```

Computed properties:
Volume   1474.6 Å³ per cell
N(E_F)   0.6160 states/eV per atom
Formation energy (no corrections)   -1.6058 eV per atom
Uncorrected energy   -303.18 eV/cell


No. 7
Material: Pm4CdSi
Method: DFT, GGA-PBE
State: relaxed

Structure (CIF):
```
data_Pm4CdSi
_symmetry_space_group_name_H-M 'P 4/m m m'
_symmetry_Int_Tables_number 123
_symmetry_space_group_name_Hall '-P 4 2'
_cell_length_a 5.039
_cell_length_b 5.039
_cell_length_c 7.477
_cell_angle_alpha 90.00
_cell_angle_beta 90.00
_cell_angle_gamma 90.00
loop_
_atom_site_label
_atom_site_fract_x
_atom_site_fract_y
_atom_site_fract_z
Pm1 0.000 0.500 0.234
Cd1 0.000 0.000 0.500
Si1 0.500 0.500 0.000
```

Computed properties:
Volume   189.8 Å³ per cell
N(E_F)   1.4736 states/eV per atom
Formation energy (no corrections)   -0.1498 eV per atom
Energy above the most stable polymorph in this dataset   189 meV per atom
Uncorrected energy   -26.24 eV/cell


No. 8
Material: InWN3
Method: DFT, GGA-PBE
State: relaxed

Structure (CIF):
```
data_InWN3
_symmetry_space_group_name_H-M 'P m -3 m'
_symmetry_Int_Tables_number 221
_symmetry_space_group_name_Hall '-P 4 2 3'
_cell_length_a 3.990
_cell_length_b 3.990
_cell_length_c 3.990
_cell_angle_alpha 90.00
_cell_angle_beta 90.00
_cell_angle_gamma 90.00
loop_
_atom_site_label
_atom_site_fract_x
_atom_site_fract_y
_atom_site_fract_z
In1 0.000 0.000 0.000
W1 0.500 0.500 0.500
N1 0.000 0.500 0.500
```

Computed properties:
Volume   63.5 Å³ per cell
N(E_F)   0.4439 states/eV per atom
Formation energy (no corrections)   0.4306 eV per atom
Uncorrected energy   -38.51 eV/cell


No. 9
Material: LaNd3Dy6Er2
Method: DFT, GGA-PBE
State: relaxed

Structure (CIF):
```
data_LaNd3Dy6Er2
_symmetry_space_group_name_H-M 'C 1 2/m 1'
_symmetry_Int_Tables_number 12
_cell_length_a 6.221
_cell_length_b 10.771
_cell_length_c 11.881
_cell_angle_alpha 90.00
_cell_angle_beta 100.02
_cell_angle_gamma 90.00
loop_
_symmetry_equiv_pos_as_xyz
'x,y,z'
'-x,-y,-z'
'-x,y,-z'
'x,-y,z'
'x+1/2,y+1/2,z'
'-x+1/2,-y+1/2,-z'
'-x+1/2,y+1/2,-z'
'x+1/2,-y+1/2,z'
loop_
_atom_site_label
_atom_site_fract_x
_atom_site_fract_y
_atom_site_fract_z
La1 0.000 0.000 0.000
Nd1 0.000 0.167 0.500
Nd2 0.000 0.500 0.500
Dy1 0.248 0.500 0.248
Dy2 0.249 0.333 0.752
Er1 0.000 0.333 0.000
```

Computed properties:
Volume   784.0 Å³ per cell
Formation enthalpy at 0 K   0.019 eV/atom
N(E_F)   1.2924 states/eV per atom
Uncorrected energy   -111.47 eV/cell


No. 10
Material: Pd4Pt3Au
Method: DFT, GGA-PBE
State: relaxed

Structure (CIF):
```
data_Pd4Pt3Au
_symmetry_space_group_name_H-M 'C 1 2/m 1'
_symmetry_Int_Tables_number 12
_cell_length_a 8.893
_cell_length_b 3.983
_cell_length_c 7.963
_cell_angle_alpha 90.00
_cell_angle_beta 116.71
_cell_angle_gamma 90.00
loop_
_symmetry_equiv_pos_as_xyz
'x,y,z'
'-x,-y,-z'
'-x,y,-z'
'x,-y,z'
'x+1/2,y+1/2,z'
'-x+1/2,-y+1/2,-z'
'-x+1/2,y+1/2,-z'
'x+1/2,-y+1/2,z'
loop_
_atom_site_label
_atom_site_fract_x
_atom_site_fract_y
_atom_site_fract_z
Pd1 0.248 0.000 0.376
Pd2 0.250 0.000 0.873
Pt1 0.000 0.000 0.500
Pt2 0.002 0.500 0.744
Au1 0.000 0.000 0.000
```

Computed properties:
Volume   251.9 Å³ per cell
Formation enthalpy at 0 K   -0.018 eV/atom
N(E_F)   2.2336 states/eV per atom
Energy above the most stable polymorph in this dataset   0 meV per atom
Uncorrected energy   -84.64 eV/cell


No. 11
Material: Er2Tm7Mg2
Method: DFT, GGA-PBE
State: relaxed

Structure (CIF):
```
data_Er2Tm7Mg2
_symmetry_space_group_name_H-M 'C 1 2/m 1'
_symmetry_Int_Tables_number 12
_cell_length_a 11.723
_cell_length_b 10.987
_cell_length_c 5.550
_cell_angle_alpha 90.00
_cell_angle_beta 112.10
_cell_angle_gamma 90.00
loop_
_symmetry_equiv_pos_as_xyz
'x,y,z'
'-x,-y,-z'
'-x,y,-z'
'x,-y,z'
'x+1/2,y+1/2,z'
'-x+1/2,-y+1/2,-z'
'-x+1/2,y+1/2,-z'
'x+1/2,-y+1/2,z'
loop_
_atom_site_label
_atom_site_fract_x
_atom_site_fract_y
_atom_site_fract_z
Er1 0.000 0.220 0.000
Tm1 0.000 0.000 0.500
Tm2 0.190 0.207 0.684
Tm3 0.218 0.000 0.170
Mg1 0.060 0.500 0.287
```

Computed properties:
Volume   662.3 Å³ per cell
Formation enthalpy at 0 K   0.183 eV/atom
N(E_F)   1.2129 states/eV per atom
Energy above the most stable polymorph in this dataset   89 meV per atom
Uncorrected energy   -83.21 eV/cell


No. 12
Material: LaIn3I
Method: DFT, GGA-PBE
State: relaxed

Structure (CIF):
```
data_LaIn3I
_symmetry_space_group_name_H-M 'P m -3 m'
_symmetry_Int_Tables_number 221
_symmetry_space_group_name_Hall '-P 4 2 3'
_cell_length_a 6.329
_cell_length_b 6.329
_cell_length_c 6.329
_cell_angle_alpha 90.00
_cell_angle_beta 90.00
_cell_angle_gamma 90.00
loop_
_atom_site_label
_atom_site_fract_x
_atom_site_fract_y
_atom_site_fract_z
La1 0.000 0.000 0.000
In1 0.000 0.000 0.500
I1 0.500 0.500 0.500
```

Computed properties:
Volume   253.6 Å³ per cell
N(E_F)   1.8392 states/eV per atom
Formation energy (no corrections)   0.4882 eV per atom
Energy above the most stable polymorph in this dataset   78 meV per atom
Uncorrected energy   -12.25 eV/cell


Q: Which of these has the highest uncorrected energy?
A: RbGa3W